No. 1
DFT (PBE) results for an optimized crystal structure of CsTe4MoAu3.

Results
SG ... P-43m
E ... -34.73 eV for the cell shown
Total magnetic moment ... 1.85 μB per formula unit

```
CsTe4MoAu3
1.0
6.889 0.000 0.000
0.000 6.889 0.000
0.000 0.000 6.889
Cs Te Mo Au
1 4 1 3
Direct
0.000 0.000 0.000
0.283 0.283 0.283
0.283 0.717 0.717
0.717 0.283 0.717
0.717 0.717 0.283
0.500 0.500 0.500
0.000 0.500 0.500
0.500 0.000 0.500
0.500 0.500 0.000
```

---

No. 2
DFT (PBE) results for an optimized crystal structure of Rb2TcSe3.

Results
SG ... Cmcm
E ... -53.85 eV for the cell shown
Total magnetic moment ... 0.02 μB per formula unit

```
Rb2TcSe3
1.0
6.060 -4.648 0.000
6.060 4.648 0.000
0.000 0.000 6.751
Rb Tc Se
4 2 6
Direct
0.016 0.667 0.750
0.333 0.984 0.750
0.667 0.016 0.250
0.984 0.333 0.250
0.397 0.603 0.250
0.603 0.397 0.750
0.142 0.858 0.250
0.374 0.374 0.000
0.374 0.374 0.500
0.626 0.626 0.000
0.626 0.626 0.500
0.858 0.142 0.750
```

---

Mass density per entry: 6.756, 4.417 g/cm3